## KYNiGe2 (SCAN)

Data for a crystal of KYNiGe2 relaxed with PBEsol.

Cell lengths 4.840, 5.477, 5.477 Å; angles 90.00, 90.00, 90.00 degrees
Fractional coordinates of all 5 atoms:
1 Ni 0.500 0.000 0.000
2 Y 0.000 0.000 0.000
3 Ge 0.000 0.000 0.500
4 K 0.500 0.500 0.500
5 Ge 0.000 0.500 0.000

Calculated values
Calculated formation energy (eV/atom): 0.6510